{"formula": "PrCo3C4O12", "functional": "GGA+U", "state": "optimized geometry", "density_g_cm3": 4.20, "final_energy_ev_per_atom": -7.32, "cell": [[4.869, 2.811, 2.684], [-4.869, 2.811, 2.684], [0.000, -5.622, 2.684]], "species": ["Pr", "Co", "Co", "Co", "C", "C", "C", "C", "O", "O", "O", "O", "O", "O", "O", "O", "O", "O", "O", "O"], "frac_coords": [[0.000, 0.000, 0.000], [0.000, 0.543, 0.457], [0.457, 0.000, 0.543], [0.543, 0.457, 0.000], [0.045, 0.500, 0.955], [0.500, 0.500, 0.500], [0.500, 0.955, 0.045], [0.955, 0.045, 0.500], [0.034, 0.626, 0.815], [0.088, 0.912, 0.500], [0.185, 0.374, 0.966], [0.366, 0.634, 0.500], [0.374, 0.966, 0.185], [0.500, 0.088, 0.912], [0.500, 0.366, 0.634], [0.626, 0.815, 0.034], [0.634, 0.500, 0.366], [0.815, 0.034, 0.626], [0.912, 0.500, 0.088], [0.966, 0.185, 0.374]]}